5
Lattice="5.007 0.000 0.000 0.000 5.237 0.000 0.000 0.000 5.007" Properties=species:S:1:pos:R:3 comment="ZrAlIn2P (GGA-PBE, optimized geometry)" dft_energy_ev_per_cell=-19.50 magnetic_moment_mub_per_fu=0.00 dos_at_fermi_per_ev_cell=4.60 pbc="T T T"
P 2.503 2.618 2.503
Al 0.000 0.000 0.000
Zr 0.000 2.618 0.000
In 0.000 0.000 2.503
In 2.503 0.000 0.000

=====

15
Lattice="5.958 0.000 0.000 -2.979 6.189 0.671 0.000 -3.536 4.380" Properties=species:S:1:pos:R:3 comment="Li3Pd3AuO8 (GGA-PBE, optimized geometry)" magnetic_moment_mub_per_fu=0.00 e_form_raw_ev_per_fu=-11.66 pbc="T T T"
Li 0.000 0.000 0.000
Li -1.489 3.095 0.336
Li 1.489 3.095 0.336
Pd 2.979 -1.768 2.190
Pd 1.489 1.327 2.526
Pd -1.489 1.327 2.526
Au 0.000 -1.768 2.190
O 0.000 1.788 1.187
O 2.979 0.865 3.864
O 2.979 1.997 1.303
O 0.000 0.656 3.748
O 4.464 -0.507 1.602
O -1.485 3.160 3.450
O 1.494 -0.507 1.602
O 1.485 3.160 3.450

=====

4
Lattice="3.787 0.000 0.000 0.000 3.795 -0.021 0.000 2.975 6.559" Properties=species:S:1:pos:R:3 comment="BeAsPb2 (GGA-PBE, optimized geometry)" e_above_lowest_polymorph_mev_per_atom=331.8 magnetic_moment_mub_per_fu=0.00 dos_at_fermi_per_ev_cell=1.58 pbc="T T T"
Pb 0.000 6.490 6.475
Pb 0.000 3.665 3.333
Be 1.894 5.078 4.904
As 1.894 1.693 1.635

=====

7
Lattice="-2.240 -2.364 -1.512 5.770 -4.660 3.005 -8.307 -0.452 4.516" Properties=species:S:1:pos:R:3 comment="Tb4PmTh2 (GGA-PBE, optimized geometry)" e_above_lowest_polymorph_mev_per_atom=0.0 magnetic_moment_mub_per_fu=0.00 dos_at_fermi_per_ev_cell=9.64 pbc="T T T"
Tb -1.294 -4.229 4.288
Tb -7.000 -3.066 2.395
Tb -3.483 -3.248 1.721
Tb 2.223 -4.411 3.615
Pm 0.000 0.000 0.000
Th 0.037 -3.438 1.061
Th -4.814 -4.039 4.949

=====

10
Lattice="7.402 0.000 0.000 0.000 7.402 0.000 0.000 0.000 2.852" Properties=species:S:1:pos:R:3 comment="Cd2CoNi2 (GGA-PBE, optimized geometry)" e_above_lowest_polymorph_mev_per_atom=263.8 magnetic_moment_mub_per_fu=1.80 dos_at_fermi_per_ev_cell=6.41 pbc="T T T"
Ni 1.154 4.855 1.426
Ni 4.855 6.248 1.426
Ni 6.248 2.547 1.426
Ni 2.547 1.154 1.426
Co 0.000 0.000 0.000
Co 3.701 3.701 0.000
Cd 2.636 6.337 0.000
Cd 6.337 4.765 0.000
Cd 4.765 1.065 0.000
Cd 1.065 2.636 0.000

=====

12
Lattice="3.846 0.000 0.000 -1.923 8.296 0.145 0.000 -3.611 7.254" Properties=species:S:1:pos:R:3 comment="ThTi3As2 (GGA-PBE, optimized geometry)" dft_energy_ev_per_cell=-89.77 magnetic_moment_mub_per_fu=0.00 dos_at_fermi_per_ev_cell=9.16 pbc="T T T"
Th 1.923 2.512 6.967
Th 0.000 2.173 0.432
Ti 0.000 3.254 4.038
Ti 1.923 5.269 4.400
Ti 1.923 -0.957 5.012
Ti 0.000 5.642 2.387
Ti 0.000 -0.585 2.999
Ti 1.923 1.430 3.361
As 0.000 4.915 6.086
As 1.923 -0.231 1.313
As 1.923 3.828 2.146
As 0.000 0.857 5.253

=====

16
Lattice="4.957 0.000 0.000 -2.478 6.998 0.000 0.000 0.000 12.365" Properties=species:S:1:pos:R:3 comment="Hf5GaBi2 (GGA-PBE, optimized geometry)" dft_energy_ev_per_cell=-117.74 magnetic_moment_mub_per_fu=0.00 dos_at_fermi_per_ev_cell=15.82 pbc="T T T"
Hf 2.478 5.395 10.765
Hf 2.478 5.395 7.783
Hf 0.000 4.316 5.971
Hf 0.000 4.316 0.211
Hf 2.478 2.835 3.091
Hf 0.000 4.163 9.274
Hf 2.478 2.683 6.394
Hf 2.478 2.683 12.153
Hf 0.000 1.603 1.600
Hf 0.000 1.603 4.582
Ga 2.478 2.891 9.274
Ga 0.000 4.107 3.091
Bi 2.478 5.605 4.739
Bi 2.478 5.605 1.443
Bi 0.000 1.393 7.626
Bi 0.000 1.393 10.922

=====

4
Lattice="-1.261 1.977 6.114 2.880 5.211 2.727 -3.650 -2.378 -4.889" Properties=species:S:1:pos:R:3 comment="PPb2Se (GGA-PBE, optimized geometry)" e_above_lowest_polymorph_mev_per_atom=267.7 magnetic_moment_mub_per_fu=0.00 dos_at_fermi_per_ev_cell=2.15 e_form_raw_ev_per_fu=0.51 pbc="T T T"
P -2.005 1.801 3.075
Pb 1.585 7.039 8.658
Pb 0.036 3.287 1.220
Se 0.781 3.465 4.263

=====

12
Lattice="5.781 0.000 0.000 2.891 9.600 -0.067 2.891 0.238 6.666" Properties=species:S:1:pos:R:3 comment="CeY4Tl7 (GGA-PBE, optimized geometry)" dft_energy_ev_per_cell=-49.55 magnetic_moment_mub_per_fu=1.08 dos_at_fermi_per_ev_cell=14.47 pbc="T T T"
Ce 0.000 0.000 0.000
Y 5.781 2.231 4.047
Y 5.781 7.607 2.552
Y 8.672 6.652 5.868
Y 2.891 3.186 0.732
Tl 8.672 8.732 3.484
Tl 2.891 1.106 3.115
Tl 2.891 6.497 1.063
Tl 8.672 3.341 5.537
Tl 5.781 5.387 4.795
Tl 2.891 0.000 0.000
Tl 5.781 4.451 1.805

=====

18
Lattice="5.940 0.070 0.544 0.513 9.261 1.421 -0.108 0.106 9.382" Properties=species:S:1:pos:R:3 comment="H2RhCl6 (GGA-PBE, optimized geometry)" dft_energy_ev_per_cell=-58.42 magnetic_moment_mub_per_fu=1.06 dos_at_fermi_per_ev_cell=13.20 pbc="T T T"
H 1.530 6.149 6.756
H 1.874 3.683 3.947
H 4.814 3.289 4.592
H 4.471 5.755 7.401
Rh 1.425 0.831 8.904
Rh 4.920 8.607 2.444
Cl 2.609 6.771 6.369
Cl 0.874 4.233 3.314
Cl 3.735 2.667 4.979
Cl 5.470 5.205 8.033
Cl 5.616 8.376 4.590
Cl 4.066 6.510 2.323
Cl 0.729 1.062 6.758
Cl 2.279 2.928 9.025
Cl 0.931 7.902 10.408
Cl 2.360 0.268 1.740
Cl 5.413 1.536 0.940
Cl 3.985 9.170 9.607

=====

11
Lattice="4.835 1.020 1.659 0.851 8.101 4.877 0.495 3.198 8.925" Properties=species:S:1:pos:R:3 comment="Ce8Pu2Si (GGA-PBE, optimized geometry)" magnetic_moment_mub_per_fu=8.30 dos_at_fermi_per_ev_cell=26.13 e_form_raw_ev_per_fu=-0.13 pbc="T T T"
Ce 2.608 8.419 7.669
Ce 2.413 5.721 9.896
Ce 3.573 3.900 7.793
Ce 1.468 4.815 5.960
Ce 3.768 6.598 5.565
Ce 2.571 9.297 11.485
Ce 3.610 3.022 3.977
Ce 4.713 7.504 9.501
Pu 1.026 7.959 9.729
Pu 5.155 4.360 5.732
Si 0.000 0.000 0.000

=====

11
Lattice="5.435 0.000 0.000 0.000 8.581 0.000 -2.718 -4.290 6.002" Properties=species:S:1:pos:R:3 comment="Er5Sc2Al4 (GGA-PBE, optimized geometry)" dft_energy_ev_per_cell=-48.19 magnetic_moment_mub_per_fu=0.21 dos_at_fermi_per_ev_cell=13.14 pbc="T T T"
Er 0.000 2.789 3.056
Er 2.718 1.501 2.945
Er 0.000 5.791 3.056
Er 2.718 0.000 0.000
Er 2.718 -1.501 2.945
Sc 0.000 0.000 1.716
Sc 2.718 4.290 4.285
Al 2.718 4.290 1.395
Al 0.000 2.637 0.000
Al 0.000 0.000 4.606
Al 0.000 5.944 0.000